A relaxed structure of Rb4Sm3MoO8, computed with PBE with a Hubbard U.

Cell and atoms, written as POSCAR:
```
Rb4Sm3MoO8
1.0
-6.1002 -0.8206 -3.5189
-3.4834 -2.1680 6.5444
3.2812 6.2853 -0.0112
Rb Sm Mo O
4 3 1 8
Cartesian
0.0000 0.0000 0.0000
1.6406 3.1426 -0.0056
-1.4095 2.7323 -1.7651
-3.0501 -0.4103 -1.7594
-3.1512 1.6483 1.5071
-0.1011 2.0586 3.2666
-4.7918 -1.4943 1.5128
-1.7417 -1.0840 3.2722
-3.7180 3.9443 1.8229
-0.9878 2.5180 1.1253
-5.3146 0.7787 1.8890
-4.0459 2.1851 -0.6384
-2.5844 -0.6476 1.1914
-2.2565 1.1116 3.6527
-5.7468 -1.0730 -0.6328
-0.5557 4.3697 3.6471
```

**Spin magnetization**: 0.19 μB per atom
**Energy**: -101.8 eV for the cell shown
**Volume**: 285.20 Å³/cell
**Space-group type**: No. 166